DFT (GGA-PBE) results for crystalline Li2IrPt at its relaxed geometry.

Cell: 4.144 4.144 4.144 Å, 60.00 60.00 60.00°
Fractional positions:
Li 0.250 0.250 0.250
Li 0.750 0.750 0.750
Ir 0.000 0.000 0.000
Pt 0.500 0.500 0.500

Results
Space group: Fm-3m (225)
Volume (Å³ per cell): 50.34
Energy of formation (eV/atom): -0.113
Energy (eV per atom): -4.79